# 1
Here is Pm2NiSn2Rh after structural relaxation from Alexandria. Energies are from PBE.

Output
Magnetic moment in μB/f.u.: 0.0
D(E_F) in states/eV/f.u.: 5.65
Formation enthalpy at 0 K in meV/atom: -685

Lattice parameters (Å, degrees): 6.4198 6.3403 8.2694 112.54 112.84 90.00
With the nearest neighbours (Å) after each atom.
Positions (direct):
Pm  0.3902  0.1495  0.2990  2 Rh 3.03, 2 Ni 3.09, 5 Sn 3.22-3.39
Pm  0.6098  0.8505  0.7010  2 Rh 3.03, 2 Ni 3.09, 5 Sn 3.22-3.39
Pm  0.0912  0.3505  0.7010  2 Rh 3.03, 2 Ni 3.09, 5 Sn 3.22-3.39
Pm  0.9088  0.6495  0.2990  2 Rh 3.03, 2 Ni 3.09, 5 Sn 3.22-3.39
Ni  0.5000  0.7500  0.0000  4 Sn 2.63
Ni  0.5000  0.2500  0.0000  4 Sn 2.63
Sn  0.8392  0.1062  0.2124  2 Ni 2.63, 2 Rh 2.76
Sn  0.3732  0.6062  0.2124  2 Ni 2.63, 2 Rh 2.76
Sn  0.6268  0.3938  0.7876  2 Ni 2.63, 2 Rh 2.76
Sn  0.1608  0.8938  0.7876  2 Ni 2.63, 2 Rh 2.76
Rh  0.0000  0.7500  0.0000  4 Sn 2.76, 4 Pm 3.03
Rh  0.0000  0.2500  0.0000  4 Sn 2.76, 4 Pm 3.03

# 2
Here is Sb2Te2Br after structural relaxation from Alexandria. Energies are from PBE.

Output
Magnetic moment in μB/f.u.: 0.0
Uncorrected formation energy in eV per formula unit: 0.31
D(E_F) in states/eV/f.u.: 3.22

Lattice parameters (Å, degrees): 5.4627 5.4627 7.2329 67.81 67.81 90.00
With the nearest neighbours (Å) after each atom.
Positions (direct):
Sb  0.7500  0.2500  0.5000  4 Te 3.01
Sb  0.2500  0.7500  0.5000  4 Te 3.01
Te  0.3526  0.3526  0.2948  4 Sb 3.01
Te  0.6474  0.6474  0.7052  4 Sb 3.01
Br  0.0000  0.0000  0.0000  8 Sb 4.10, 10 Te 4.26-4.31

# 3
Here is Ce2ScAu after structural relaxation from Alexandria. Energies are from PBE.

Output
Magnetic moment in μB/f.u.: 0.0
D(E_F) in states/eV/f.u.: 9.41
Formation enthalpy at 0 K in meV/atom: -274

Lattice parameters (Å, degrees): 5.4242 4.1029 4.1029 90.00 90.00 90.00
With the nearest neighbours (Å) after each atom.
Positions (direct):
Sc  0.5000  0.5000  0.5000  4 Au 2.90
Au  0.5000  0.0000  0.0000  4 Sc 2.90
Ce  0.0000  0.0000  0.5000  4 Ce 2.90
Ce  0.0000  0.5000  0.0000  4 Ce 2.90

In the order shown, the computed calculated total energy values come out to -5.7920, -3.1786, -5.6434 eV/atom.